The following is a DFT calculation (GGA-PBE) of Li2DyMgAg2 after structural relaxation.

Geometry as POSCAR:
```
Li2DyMgAg2
1.0
4.6177 0.0000 0.0000
-2.3089 3.9991 0.0000
0.0000 0.0000 6.5507
Li Dy Mg Ag
2 1 1 2
direct
0.3333 0.6667 0.1839
0.6667 0.3333 0.8161
0.0000 0.0000 0.5000
0.0000 0.0000 0.0000
0.3333 0.6667 0.7604
0.6667 0.3333 0.2396
```

Values from the calculation:
formation enthalpy at 0 K	-170	meV per atom
size of the total moment	0.000	μB/f.u.

The following is a DFT calculation (GGA-PBE) of Sc2AlHgN after structural relaxation.

Geometry as POSCAR:
```
Sc2AlHgN
1.0
4.4916 0.0000 0.0000
0.0000 4.4916 0.0000
0.0000 0.0000 4.0499
Sc Al Hg N
2 1 1 1
direct
0.0000 0.5000 0.0000
0.5000 0.0000 0.0000
0.0000 0.0000 0.5000
0.5000 0.5000 0.5000
0.0000 0.0000 0.0000
```

Values from the calculation:
formation energy (no corrections)	-834	meV per atom
size of the total moment	0.000	μB/f.u.

The following is a DFT calculation (GGA-PBE) of ErAlAs2O8 after structural relaxation.

Geometry as POSCAR:
```
ErAlAs2O8
1.0
-3.4120 3.4120 3.0745
3.4120 -3.4120 3.0745
3.4120 3.4120 -3.0745
Er Al As O
1 1 2 8
direct
0.0000 0.0000 0.0000
0.2500 0.7500 0.5000
0.5000 0.5000 0.0000
0.7500 0.2500 0.5000
0.3187 0.1246 0.8059
0.3187 0.5129 0.1941
0.3760 0.0545 0.3215
0.4871 0.6813 0.8059
0.7330 0.0545 0.6785
0.8754 0.6813 0.1941
0.9455 0.2670 0.3215
0.9455 0.6240 0.6785
```

Values from the calculation:
formation energy (no corrections)	-1973	meV per atom
size of the total moment	0.000	μB/f.u.

The following is a DFT calculation (GGA-PBE) of Pr3Nd4Y2 after structural relaxation.

Geometry as POSCAR:
```
Pr3Nd4Y2
1.0
3.6662 0.0000 0.0000
-1.8331 3.1750 0.0000
0.0000 0.0000 27.3583
Pr Nd Y
3 4 2
direct
0.0000 0.0000 0.0000
0.0000 0.0000 0.3369
0.6667 0.3333 0.6717
0.0000 0.0000 0.5598
0.0000 0.0000 0.7844
0.6667 0.3333 0.2294
0.6667 0.3333 0.4508
0.6667 0.3333 0.1049
0.6667 0.3333 0.8898
```

Values from the calculation:
formation enthalpy at 0 K	66	meV per atom
excess energy over the best structure of this formula in the dataset	0.051	eV/atom
size of the total moment	0.004	μB/f.u.

The following is a DFT calculation (GGA-PBE) of NdYZnHg after structural relaxation.

Geometry as POSCAR:
```
NdYZnHg
1.0
7.4438 0.0000 0.0000
0.0000 7.4438 0.0000
0.0000 0.0000 7.4438
Nd Y Zn Hg
4 4 4 4
direct
0.0000 0.0000 0.0000
0.0000 0.5000 0.5000
0.5000 0.0000 0.5000
0.5000 0.5000 0.0000
0.0000 0.0000 0.5000
0.0000 0.5000 0.0000
0.5000 0.0000 0.0000
0.5000 0.5000 0.5000
0.2500 0.2500 0.2500
0.2500 0.7500 0.7500
0.7500 0.2500 0.7500
0.7500 0.7500 0.2500
0.2500 0.2500 0.7500
0.2500 0.7500 0.2500
0.7500 0.2500 0.2500
0.7500 0.7500 0.7500
```

Values from the calculation:
formation enthalpy at 0 K	-390	meV per atom
excess energy over the best structure of this formula in the dataset	0.022	eV/atom
size of the total moment	0.718	μB/f.u.

The following is a DFT calculation (GGA-PBE) of YAlP3 after structural relaxation.

Geometry as POSCAR:
```
YAlP3
1.0
5.2468 0.0000 0.0000
0.0000 5.2468 0.0000
0.0000 0.0000 5.2468
Y Al P
1 1 3
direct
0.0000 0.0000 0.0000
0.5000 0.5000 0.5000
0.0000 0.0000 0.5000
0.0000 0.5000 0.0000
0.5000 0.0000 0.0000
```

Values from the calculation:
formation enthalpy at 0 K	735	meV per atom
excess energy over the best structure of this formula in the dataset	1.023	eV/atom
size of the total moment	0.000	μB/f.u.